Compound: La3AgRhCl
Source: Alexandria via LeMat-Bulk
Functional: GGA-PBE
Structure: optimized geometry

Values from the calculation:
- Uncorrected energy: -5.258 eV per atom
- Uncorrected formation energy: -786 meV per atom
- SG: P2_1/m, No. 11

a = 4.345 Å, b = 8.384 Å, c = 9.789 Å
α = 100.34°, β = 90.00°, γ = 90.00°
Positions (direct):
La  0.250  0.708  0.454
La  0.750  0.879  0.115
La  0.750  0.436  0.158
La  0.750  0.292  0.546
La  0.250  0.564  0.842
La  0.250  0.121  0.885
Ag  0.750  0.789  0.738
Ag  0.250  0.211  0.262
Rh  0.250  0.664  0.139
Rh  0.750  0.336  0.861
Cl  0.250  0.080  0.597
Cl  0.750  0.920  0.403

---

Compound: La6AgRu2Cl3
Source: Alexandria via LeMat-Bulk
Functional: GGA-PBE
Structure: optimized geometry

Values from the calculation:
- Uncorrected energy: -5.699 eV per atom
- Uncorrected formation energy: -990 meV per atom
- SG: C2/m, No. 12

a = 4.188 Å, b = 9.151 Å, c = 10.038 Å
α = 108.44°, β = 102.04°, γ = 90.00°
Positions (direct):
La  0.335  0.878  0.669
La  0.680  0.563  0.360
La  0.665  0.122  0.331
La  0.021  0.256  0.042
La  0.979  0.744  0.958
La  0.320  0.437  0.640
Ag  0.500  0.000  0.000
Ru  0.836  0.666  0.673
Ru  0.164  0.334  0.327
Cl  0.500  0.500  0.000
Cl  0.829  0.162  0.658
Cl  0.171  0.838  0.342

---

Compound: LaAgS2Cl
Source: Alexandria via LeMat-Bulk
Functional: GGA-PBE
Structure: optimized geometry

Values from the calculation:
- Uncorrected energy: -4.409 eV per atom
- Uncorrected formation energy: -833 meV per atom
- SG: P4/mmm, No. 123
- ΔE to the lowest computed polymorph: 0 kJ/mol of formula units

a = 4.918 Å, b = 4.918 Å, c = 4.827 Å
α = 90.00°, β = 90.00°, γ = 90.00°
Last column: magnetic moment on the atom in μB.
Positions (direct):
S  0.000  0.500  0.000  -0.01
S  0.500  0.000  0.000  -0.01
Cl  0.000  0.000  0.500  0.00
Ag  0.000  0.000  0.000  0.00
La  0.500  0.500  0.500  0.16

---

Compound: LaAgS2Cl
Source: Alexandria via LeMat-Bulk
Functional: GGA-PBE
Structure: optimized geometry

Values from the calculation:
- Uncorrected energy: -4.221 eV per atom
- Uncorrected formation energy: -645 meV per atom
- SG: P4/mmm, No. 123
- ΔE to the lowest computed polymorph: 91 kJ/mol of formula units

a = 5.484 Å, b = 5.484 Å, c = 5.532 Å
α = 90.00°, β = 90.00°, γ = 90.00°
Last column: magnetic moment on the atom in μB.
Positions (direct):
S  0.000  0.500  0.000  0.05
S  0.500  0.000  0.000  0.05
Cl  0.000  0.000  0.500  0.00
Ag  0.500  0.500  0.500  0.00
La  0.000  0.000  0.000  0.01

---

Compound: La4TcAgCl2
Source: Alexandria via LeMat-Bulk
Functional: GGA-PBE
Structure: optimized geometry

Values from the calculation:
- Uncorrected energy: -5.402 eV per atom
- Uncorrected formation energy: -824 meV per atom
- SG: P2/m, No. 10

a = 4.237 Å, b = 8.041 Å, c = 7.372 Å
α = 72.63°, β = 90.00°, γ = 90.00°
Positions (direct):
La  0.000  0.714  0.729
La  0.000  0.286  0.271
La  0.500  0.716  0.279
La  0.500  0.284  0.721
Tc  0.000  0.500  0.500
Ag  0.500  0.500  0.000
Cl  0.000  0.000  0.000
Cl  0.500  0.000  0.500

---

Compound: La6Tc2AgCl3
Source: Alexandria via LeMat-Bulk
Functional: GGA-PBE
Structure: optimized geometry

Values from the calculation:
- Uncorrected energy: -5.706 eV per atom
- Uncorrected formation energy: -815 meV per atom
- SG: C2/m, No. 12

a = 4.144 Å, b = 9.237 Å, c = 10.125 Å
α = 108.05°, β = 101.81°, γ = 90.00°
Positions (direct):
La  0.336  0.885  0.671
La  0.679  0.563  0.358
La  0.664  0.115  0.329
La  0.024  0.262  0.049
La  0.976  0.738  0.951
La  0.321  0.437  0.642
Tc  0.846  0.672  0.692
Tc  0.154  0.328  0.308
Ag  0.500  0.000  0.000
Cl  0.500  0.500  0.000
Cl  0.823  0.161  0.646
Cl  0.177  0.839  0.354

---

Compound: LaTlAgCl5
Source: Alexandria via LeMat-Bulk
Functional: GGA-PBE
Structure: optimized geometry

Values from the calculation:
- Uncorrected energy: -3.976 eV per atom
- Uncorrected formation energy: -1553 meV per atom
- SG: C2/c, No. 15

a = 7.790 Å, b = 7.790 Å, c = 10.420 Å
α = 102.42°, β = 102.42°, γ = 109.47°
Positions (direct):
La  0.000  0.000  0.500
La  0.000  0.000  0.000
Tl  0.356  0.644  0.250
Tl  0.644  0.356  0.750
Ag  0.686  0.314  0.250
Ag  0.314  0.686  0.750
Cl  0.087  0.913  0.250
Cl  0.913  0.087  0.750
Cl  0.927  0.316  0.113
Cl  0.073  0.684  0.887
Cl  0.684  0.073  0.387
Cl  0.316  0.927  0.613
Cl  0.738  0.625  0.439
Cl  0.262  0.375  0.561
Cl  0.375  0.262  0.061
Cl  0.625  0.738  0.939

---

Compound: LaV2AgCl
Source: Alexandria via LeMat-Bulk
Functional: GGA-PBE
Structure: optimized geometry

Values from the calculation:
- Uncorrected energy: -4.812 eV per atom
- Uncorrected formation energy: 761 meV per atom
- SG: P4/mmm, No. 123

a = 4.967 Å, b = 5.954 Å, c = 4.967 Å
α = 90.00°, β = 90.00°, γ = 90.00°
Last column: magnetic moment on the atom in μB.
Positions (direct):
Cl  0.500  0.500  0.500  0.05
V  0.000  0.000  0.500  2.56
V  0.500  0.000  0.000  2.82
Ag  0.000  0.000  0.000  0.06
La  0.000  0.500  0.000  0.03